VASP calculation (PBE) on crystalline Tm4ScOs2 at its relaxed geometry.

For the density, the calculation gives 10.9 g/cm3. The value obtained for the total magnetization is 0.00 μB per cell. For the total energy, the calculation gives -96.09 eV/cell.

The space group is P2_1/m (No. 11) and the conventional cell measures 7.680, 6.127 and 7.713 Å, with angles of 90.00, 112.45 and 90.00 degrees. Symmetry generates all atoms from Tm at (0.021, 0.250, 0.380), Tm at (0.239, 0.750, 0.322), Tm at (0.420, 0.002, 0.764), Sc at (0.161, 0.250, 0.042), Os at (0.248, 0.750, 0.975) and Os at (0.379, 0.250, 0.413).